Entry w
Computed, not measured: a relaxed PrThB4 crystal at the PBE-GGA level of DFT.

POSCAR file:
```
PrThB4
1.0
-0.051 -0.459 3.313
1.820 -2.027 -1.941
6.558 5.113 0.809
B Pr Th
4 1 1
Cartesian
2.199 0.287 1.762
2.823 -0.236 0.011
5.503 2.863 2.170
6.127 2.340 0.418
3.279 2.556 0.404
0.000 0.000 0.000
```

## Properties
The density comes out at 8.5 g/cm3. The total magnetic moment is 0.0 μB per cell.

Entry x
Computed, not measured: a relaxed PrThB4 crystal at the PBE-GGA level of DFT.

POSCAR file:
```
PrThB4
1.0
0.218 -2.935 4.466
-2.987 2.845 3.404
-0.171 -2.862 -4.516
B Pr Th
4 1 1
Cartesian
-0.674 -1.952 1.945
-2.281 0.938 1.427
-0.658 -3.889 1.929
-2.266 -0.999 1.410
0.000 0.000 0.000
-1.384 -0.045 3.935
```

## Properties
The density comes out at 8.5 g/cm3. The total magnetic moment is 0.0 μB per cell.

Stability verdict: entry w, ahead by 0.6 kJ/mol of atoms

Entry w
Computed, not measured: a relaxed PrTlB crystal at the PBE-GGA level of DFT.

POSCAR file:
```
PrTlB
1.0
2.378 1.373 3.427
-2.378 1.373 3.427
0.000 -2.746 3.427
B Pr Tl
1 1 1
Cartesian
0.000 0.000 1.100
0.000 0.000 3.735
0.000 0.000 8.840
```

## Properties
The density comes out at 8.8 g/cm3. The total magnetic moment is 0.0 μB per cell.

Entry x
Computed, not measured: a relaxed PrTlB crystal at the PBE-GGA level of DFT.

POSCAR file:
```
PrTlB
1.0
0.000 3.231 3.231
3.231 0.000 3.231
3.231 3.231 0.000
B Pr Tl
1 1 1
Cartesian
0.000 0.000 0.000
1.616 1.616 1.616
4.847 4.847 4.847
```

## Properties
The density comes out at 8.8 g/cm3. The total magnetic moment is 0.0 μB per cell.

Stability verdict: entry x, ahead by 1.5 kJ/mol of atoms

Entry w
Computed, not measured: a relaxed PrTlB crystal at the PBE-GGA level of DFT.

POSCAR file:
```
PrTlB
1.0
0.000 3.384 3.384
3.384 0.000 3.384
3.384 3.384 0.000
B Pr Tl
1 1 1
Cartesian
1.692 1.692 1.692
5.075 5.075 5.075
0.000 0.000 0.000
```

## Properties
The density comes out at 7.6 g/cm3. The total magnetic moment is 0.0 μB per cell.

Entry x
Computed, not measured: a relaxed PrTlB crystal at the PBE-GGA level of DFT.

POSCAR file:
```
PrTlB
1.0
1.208 -3.838 2.721
0.471 0.485 4.811
-3.280 -1.997 2.975
B Pr Tl
1 1 1
Cartesian
-0.400 -1.338 2.627
0.000 0.000 0.000
-1.201 -4.013 7.880
```

## Properties
The density comes out at 7.3 g/cm3. The total magnetic moment is 0.0 μB per cell.

Stability verdict: entry x, ahead by 2.9 kJ/mol of atoms

Entry w
Computed, not measured: a relaxed PrTmB4 crystal at the PBE-GGA level of DFT.

POSCAR file:
```
PrTmB4
1.0
-3.180 0.539 -0.676
1.069 -3.067 0.558
-1.508 0.894 7.809
B Pr Tm
4 1 1
Cartesian
-2.113 -0.456 1.544
-0.696 -1.658 1.956
-2.922 0.024 5.736
-1.506 -1.178 6.147
-0.754 0.447 3.905
0.000 0.000 0.000
```

## Properties
The density comes out at 7.8 g/cm3. The total magnetic moment is 0.0 μB per cell.

Entry x
Computed, not measured: a relaxed PrTmB4 crystal at the PBE-GGA level of DFT.

POSCAR file:
```
PrTmB4
1.0
4.683 1.942 -1.116
2.966 -2.654 3.333
-3.014 -0.536 -4.193
B Pr Tm
4 1 1
Cartesian
2.492 0.289 -1.211
1.589 -2.005 1.001
3.047 0.756 -2.977
2.144 -1.537 -0.765
3.825 -0.356 1.108
0.000 0.000 0.000
```

## Properties
The density comes out at 7.7 g/cm3. The total magnetic moment is 0.0 μB per cell.

Stability verdict: entry w, ahead by 5.1 kJ/mol of atoms

Entry w
Computed, not measured: a relaxed PrB4W crystal at the PBE-GGA level of DFT.

POSCAR file:
```
PrB4W
1.0
-1.904 -0.151 -2.487
0.988 -2.636 1.381
-6.012 0.154 4.594
B Pr W
4 1 1
Cartesian
-2.669 -0.936 0.123
-1.705 -1.764 1.413
-5.224 -0.870 2.076
-4.260 -1.698 3.365
0.000 0.000 0.000
-3.006 0.077 2.297
```

## Properties
The density comes out at 9.5 g/cm3. The total magnetic moment is 0.0 μB per cell.

Entry x
Computed, not measured: a relaxed PrB4W crystal at the PBE-GGA level of DFT.

POSCAR file:
```
PrB4W
1.0
-1.598 2.779 3.695
1.598 -2.779 3.695
1.598 2.779 -3.695
B Pr W
4 1 1
Cartesian
0.000 1.886 1.792
1.598 -0.892 1.903
0.000 3.671 1.792
1.598 0.892 1.903
0.000 0.000 0.000
0.000 0.000 3.696
```

## Properties
The density comes out at 9.3 g/cm3. The total magnetic moment is 0.0 μB per cell.

Stability verdict: entry w, ahead by 22.6 kJ/mol of atoms

Entry w
Computed, not measured: a relaxed PrYB4 crystal at the PBE-GGA level of DFT.

POSCAR file:
```
PrYB4
1.0
3.320 0.000 0.000
-1.660 2.875 0.000
0.000 0.000 8.076
B Pr Y
4 1 1
Cartesian
1.660 0.958 2.128
0.000 1.917 2.128
1.660 0.958 5.949
0.000 1.917 5.949
0.000 0.000 0.000
0.000 0.000 4.038
```

## Properties
The density comes out at 5.9 g/cm3. The total magnetic moment is 0.0 μB per cell.

Entry x
Computed, not measured: a relaxed PrYB4 crystal at the PBE-GGA level of DFT.

POSCAR file:
```
PrYB4
1.0
-1.663 2.883 4.034
1.663 -2.883 4.034
1.663 2.883 -4.034
B Pr Y
4 1 1
Cartesian
0.000 1.924 2.001
1.663 -0.959 2.033
0.000 3.843 2.001
1.663 0.959 2.033
0.000 0.000 0.000
0.000 0.000 4.034
```

## Properties
The density comes out at 5.9 g/cm3. The total magnetic moment is 0.0 μB per cell.

Stability verdict: entry w, ahead by 3.0 kJ/mol of atoms

Entry w
Computed, not measured: a relaxed RbBPt crystal at the PBE-GGA level of DFT.

POSCAR file:
```
RbBPt
1.0
-1.479 -2.613 3.897
-2.981 2.038 3.341
-4.682 -1.472 0.342
B Pt Rb
1 1 1
Cartesian
-2.285 -0.512 1.895
-6.856 -1.535 5.685
0.000 0.000 0.000
```

## Properties
The density comes out at 5.7 g/cm3. The total magnetic moment is 0.0 μB per cell.

Entry x
Computed, not measured: a relaxed RbBPt crystal at the PBE-GGA level of DFT.

POSCAR file:
```
RbBPt
1.0
0.000 3.284 3.284
3.284 0.000 3.284
3.284 3.284 0.000
B Pt Rb
1 1 1
Cartesian
1.642 1.642 1.642
0.000 0.000 0.000
4.926 4.926 4.926
```

## Properties
The density comes out at 6.8 g/cm3. The total magnetic moment is 0.0 μB per cell.

Entry y
Computed, not measured: a relaxed RbBPt crystal at the PBE-GGA level of DFT.

POSCAR file:
```
RbBPt
1.0
2.026 -1.942 -3.554
2.344 -3.836 0.547
-1.603 -3.891 -1.673
B Pt Rb
1 1 1
Cartesian
0.000 0.000 0.000
0.692 -2.417 -1.170
2.075 -7.251 -3.510
```

## Properties
The density comes out at 7.4 g/cm3. The total magnetic moment is 0.0 μB per cell.

Stability verdict: entry y, ahead by 12.1 kJ/mol of atoms

Entry w
Computed, not measured: a relaxed RbB4Pt crystal at the PBE-GGA level of DFT.

POSCAR file:
```
RbB4Pt
1.0
-1.344 2.915 4.599
1.344 -2.915 4.599
1.344 2.915 -4.599
B Pt Rb
4 1 1
Cartesian
0.000 2.076 2.510
1.344 -0.839 2.089
0.000 3.755 2.510
1.344 0.839 2.089
0.000 0.000 0.000
0.000 0.000 4.599
```

## Properties
The density comes out at 7.5 g/cm3. The total magnetic moment is 0.0 μB per cell.

Entry x
Computed, not measured: a relaxed RbB4Pt crystal at the PBE-GGA level of DFT.

POSCAR file:
```
RbB4Pt
1.0
-0.013 1.111 -2.929
1.841 -2.422 0.748
-6.258 -5.379 -2.012
B Pt Rb
4 1 1
Cartesian
-0.606 -1.107 -2.092
0.012 -2.285 -0.867
-4.443 -4.405 -3.326
-3.825 -5.582 -2.100
0.000 0.000 0.000
-3.129 -2.689 -1.006
```

## Properties
The density comes out at 7.4 g/cm3. The total magnetic moment is 0.0 μB per cell.

Stability verdict: entry x, ahead by 19.6 kJ/mol of atoms

Entry w
Computed, not measured: a relaxed ReB4Pt crystal at the PBE-GGA level of DFT.

POSCAR file:
```
ReB4Pt
1.0
-1.528 2.524 3.601
1.528 -2.524 3.601
1.528 2.524 -3.601
B Pt Re
4 1 1
Cartesian
0.000 1.637 1.683
1.528 -0.887 1.918
0.000 3.411 1.683
1.528 0.887 1.918
0.000 0.000 0.000
0.000 0.000 3.601
```

## Properties
The density comes out at 12.7 g/cm3. The total magnetic moment is 0.0 μB per cell.

Entry x
Computed, not measured: a relaxed ReB4Pt crystal at the PBE-GGA level of DFT.

POSCAR file:
```
ReB4Pt
1.0
-0.008 -2.771 1.081
1.792 2.055 1.189
-5.262 1.856 4.721
B Pt Re
4 1 1
Cartesian
-0.623 -0.734 2.207
-0.024 0.875 2.244
-3.454 0.265 4.747
-2.854 1.874 4.783
-2.631 0.928 2.361
0.000 0.000 0.000
```

## Properties
The density comes out at 12.6 g/cm3. The total magnetic moment is 0.0 μB per cell.

Stability verdict: entry x, ahead by 6.1 kJ/mol of atoms

Entry w
Computed, not measured: a relaxed B4SbPt crystal at the PBE-GGA level of DFT.

POSCAR file:
```
B4SbPt
1.0
-1.422 2.752 4.339
1.422 -2.752 4.339
1.422 2.752 -4.339
B Pt Sb
4 1 1
Cartesian
0.000 1.909 2.020
1.422 -0.843 2.318
0.000 3.595 2.020
1.422 0.843 2.318
0.000 0.000 4.339
0.000 0.000 0.000
```

## Properties
The density comes out at 8.8 g/cm3. The total magnetic moment is 0.0 μB per cell.

Entry x
Computed, not measured: a relaxed B4SbPt crystal at the PBE-GGA level of DFT.

POSCAR file:
```
B4SbPt
1.0
3.054 0.000 0.000
-1.527 2.645 0.000
0.000 0.000 8.434
B Pt Sb
4 1 1
Cartesian
1.527 0.882 1.781
0.000 1.763 1.781
1.527 0.882 6.654
0.000 1.763 6.654
0.000 0.000 0.000
0.000 0.000 4.217
```

## Properties
The density comes out at 8.8 g/cm3. The total magnetic moment is 0.0 μB per cell.

Stability verdict: entry x, ahead by 3.5 kJ/mol of atoms

Entry w
Computed, not measured: a relaxed ScBPt crystal at the PBE-GGA level of DFT.

POSCAR file:
```
ScBPt
1.0
0.000 2.960 2.960
2.960 0.000 2.960
2.960 2.960 0.000
B Pt Sc
1 1 1
Cartesian
1.480 1.480 1.480
4.440 4.440 4.440
0.000 0.000 0.000
```

## Properties
The density comes out at 8.0 g/cm3. The total magnetic moment is 0.0 μB per cell.

Entry x
Computed, not measured: a relaxed ScBPt crystal at the PBE-GGA level of DFT.

POSCAR file:
```
ScBPt
1.0
-3.247 0.470 2.225
-1.154 3.636 1.079
-3.271 1.591 -1.577
B Pt Sc
1 1 1
Cartesian
0.000 0.000 0.000
-1.918 1.424 0.432
-5.753 4.273 1.295
```

## Properties
The density comes out at 9.5 g/cm3. The total magnetic moment is 0.0 μB per cell.

Stability verdict: entry x, ahead by 79.2 kJ/mol of atoms

Entry w
Computed, not measured: a relaxed SiB4Pt crystal at the PBE-GGA level of DFT.

POSCAR file:
```
SiB4Pt
1.0
-1.525 2.681 3.406
1.525 -2.681 3.406
1.525 2.681 -3.406
B Pt Si
4 1 1
Cartesian
0.000 1.784 1.651
1.525 -0.897 1.755
0.000 3.578 1.651
1.525 0.897 1.755
0.000 0.000 0.000
0.000 0.000 3.406
```

## Properties
The density comes out at 7.9 g/cm3. The total magnetic moment is 0.0 μB per cell.

Entry x
Computed, not measured: a relaxed SiB4Pt crystal at the PBE-GGA level of DFT.

POSCAR file:
```
SiB4Pt
1.0
-0.028 -2.492 -1.732
2.009 0.254 2.261
-4.435 -2.916 4.269
B Pt Si
4 1 1
Cartesian
-0.527 -2.351 0.733
0.152 -1.436 2.064
-2.606 -3.718 2.734
-1.927 -2.803 4.065
0.000 0.000 0.000
-2.217 -1.458 2.135
```

## Properties
The density comes out at 8.1 g/cm3. The total magnetic moment is 0.0 μB per cell.

Stability verdict: entry x, ahead by 7.5 kJ/mol of atoms